A relaxed structure of ScCoGeF2, computed with PBE with a Hubbard U.

The structure in POSCAR format:
```
ScCoGeF2
1.0
4.051 0.000 0.000
0.000 4.801 0.000
0.000 0.000 4.051
F Sc Ge Co
2 1 1 1
Cartesian
2.025 0.000 0.000
0.000 0.000 2.025
2.025 2.400 2.025
0.000 0.000 0.000
0.000 2.400 0.000
```

Output
Size of the total moment (μB per cell): 0.0
Energy (eV/atom): -4.63
Space group: P4/mmm, No. 123